## Ti2FeIrI (SCAN)

Data for a PBEsol-optimized structure of Ti2FeIrI.

Cell and atoms, written as POSCAR:
```
Ti2FeIrI
1.0
4.463 0.000 0.000
0.000 4.463 0.000
0.000 0.000 4.545
Ti Fe Ir I
2 1 1 1
Direct
0.000 0.500 0.000
0.500 0.000 0.000
0.000 0.000 0.000
0.000 0.000 0.500
0.500 0.500 0.500
```

Computed properties:
* ΔE_f (raw): 594 meV/atom
* uncorrected energy: -2.2793 Ry per atom
* M_tot: 0.0 μB/cell